No. 1
The following is a DFT calculation (PBE-GGA) of a relaxed structure of NaCeTe2.

Structure (extended XYZ):
```
4
Lattice="3.897 0.000 0.000 0.000 3.897 0.000 0.000 0.000 7.998" Properties=species:S:1:pos:R:3 pbc="T T T"
Te 0.000 0.000 6.155
Ce 1.948 1.948 0.000
Te 0.000 0.000 1.843
Na 1.948 1.948 3.999
```

V = 121.4 Å³/cell
symmetry = P4/mmm
formation energy without anion corrections = -1.117 eV/atom
DOS at the Fermi energy = 1.24 states/eV/atom
mass density = 5.72 g cm⁻³

No. 2
The following is a DFT calculation (PBE-GGA) of a relaxed structure of LaGa2.

Structure (extended XYZ):
```
6
Lattice="11.379 0.000 0.000 0.000 3.332 0.000 0.000 0.000 3.668" Properties=species:S:1:pos:R:3 pbc="T T T"
Ga 9.180 1.666 1.834
Ga 2.199 1.666 1.834
Ga 3.490 0.000 0.000
Ga 7.888 0.000 0.000
La 0.000 0.000 0.000
La 5.689 1.666 1.834
```

V = 139.0 Å³/cell
formation energy = -0.42 eV/atom
symmetry = Immm
DOS at the Fermi energy = 0.67 states/eV/atom
mass density = 6.65 g cm⁻³

No. 3
The following is a DFT calculation (PBE-GGA) of a relaxed structure of HfInSi2S.

Structure (extended XYZ):
```
5
Lattice="4.823 0.000 0.000 0.000 5.628 0.000 0.000 0.000 4.823" Properties=species:S:1:pos:R:3 pbc="T T T"
Hf 0.000 2.814 0.000
S 2.411 2.814 2.411
Si 0.000 0.000 2.411
Si 2.411 0.000 0.000
In 0.000 0.000 0.000
```

V = 130.9 Å³/cell
symmetry = P4/mmm
formation energy without anion corrections = 1.370 eV/atom
DOS at the Fermi energy = 0.88 states/eV/atom
mass density = 4.84 g cm⁻³

No. 4
The following is a DFT calculation (PBE-GGA) of a relaxed structure of CsSmBi.

Structure (extended XYZ):
```
6
Lattice="5.220 0.000 0.000 2.610 4.521 0.000 2.610 1.507 14.525" Properties=species:S:1:pos:R:3 pbc="T T T"
Bi 5.220 3.014 12.357
Cs 7.830 4.521 4.814
Cs 2.610 1.507 9.711
Sm 7.830 4.521 13.348
Bi 5.220 3.014 2.168
Sm 2.610 1.507 1.177
```

V = 342.8 Å³/cell
formation energy = -0.44 eV/atom
symmetry = R-3m
DOS at the Fermi energy = 0.71 states/eV/atom
mass density = 4.77 g cm⁻³

No. 5
The following is a DFT calculation (PBE-GGA) of a relaxed structure of LaNb2GaC.

Structure (extended XYZ):
```
5
Lattice="4.931 0.000 0.000 0.000 5.406 0.000 0.000 0.000 4.931" Properties=species:S:1:pos:R:3 pbc="T T T"
C 2.465 2.703 2.465
La 0.000 0.000 0.000
Ga 0.000 2.703 0.000
Nb 2.465 0.000 0.000
Nb 0.000 0.000 2.465
```

V = 131.4 Å³/cell
formation energy = 2.98 eV/atom
symmetry = P4/mmm
DOS at the Fermi energy = 1.11 states/eV/atom
mass density = 5.13 g cm⁻³

No. 6
The following is a DFT calculation (PBE-GGA) of a relaxed structure of NdZnCd3.

Structure (extended XYZ):
```
10
Lattice="6.697 0.769 0.000 3.163 5.953 0.000 0.000 0.000 6.348" Properties=species:S:1:pos:R:3 pbc="T T T"
Cd 2.494 4.431 5.093
Cd 4.315 1.749 1.919
Cd 4.315 1.749 5.094
Cd 1.957 2.107 3.506
Zn 6.972 5.517 0.333
Cd 4.852 4.073 0.333
Nd 5.852 4.760 3.507
Cd 2.494 4.431 1.920
Nd 0.956 1.420 0.332
Zn 6.534 1.432 3.507
```

E above lowest polymorph = 7 meV/atom
V = 237.7 Å³/cell
formation energy = -0.23 eV/atom
symmetry = P2_1/m
DOS at the Fermi energy = 0.70 states/eV/atom
mass density = 7.64 g cm⁻³

No. 7
The following is a DFT calculation (PBE-GGA) of a relaxed structure of Hf3GeAu.

Structure (extended XYZ):
```
10
Lattice="-3.391 0.812 -0.645 -2.248 -6.099 4.233 -0.595 2.971 6.962" Properties=species:S:1:pos:R:3 pbc="T T T"
Au -3.160 -1.694 7.481
Hf -5.468 -2.245 9.263
Ge -1.932 1.502 5.051
Hf -4.212 0.627 6.188
Hf -2.498 -1.311 4.498
Au -3.521 0.847 2.835
Ge -3.051 -4.025 3.975
Hf -1.633 -0.403 1.032
Hf -4.973 -2.994 5.621
Hf -4.110 -2.199 2.103
```

E above lowest polymorph = 0 meV/atom
V = 204.0 Å³/cell
formation energy = -0.35 eV/atom
symmetry = P1
DOS at the Fermi energy = 0.90 states/eV/atom
mass density = 13.11 g cm⁻³

No. 8
The following is a DFT calculation (PBE-GGA) of a relaxed structure of Sm3CoIr.

Structure (extended XYZ):
```
10
Lattice="-0.554 -1.427 3.609 -5.709 -3.230 -4.274 4.672 -6.450 -1.829" Properties=species:S:1:pos:R:3 pbc="T T T"
Sm -5.925 -4.736 -0.716
Ir -3.919 -5.238 -2.736
Sm 0.727 -3.202 -1.221
Sm -3.141 -2.312 -1.461
Co -0.598 -8.187 -1.265
Sm 1.590 -6.764 -0.359
Ir -1.279 -2.699 0.799
Sm -2.057 -5.624 -0.475
Sm -2.115 -7.622 -3.407
Co 0.073 -6.196 -2.500
```

V = 242.7 Å³/cell
formation energy = -0.34 eV/atom
symmetry = P-1
DOS at the Fermi energy = 0.88 states/eV/atom
mass density = 9.61 g cm⁻³

No. 9
The following is a DFT calculation (PBE-GGA) of a relaxed structure of TbHoHg6.

Structure (extended XYZ):
```
8
Lattice="5.011 0.000 0.000 0.000 6.623 -0.168 0.000 -3.083 5.864" Properties=species:S:1:pos:R:3 pbc="T T T"
Hg 0.000 1.074 5.310
Tb 2.505 0.899 3.390
Hg 0.000 2.552 2.363
Hg 2.505 5.852 0.311
Ho 0.000 -2.211 5.323
Hg 2.505 2.503 0.460
Hg 2.505 4.236 3.249
Hg 0.000 -0.746 2.383
```

V = 192.0 Å³/cell
formation energy = -0.34 eV/atom
symmetry = Amm2
DOS at the Fermi energy = 0.63 states/eV/atom
mass density = 13.21 g cm⁻³

No. 10
The following is a DFT calculation (PBE-GGA) of a relaxed structure of ReAgSb2I.

Structure (extended XYZ):
```
5
Lattice="-0.642 -3.920 3.151 5.015 -0.256 0.703 -0.455 3.798 4.632" Properties=species:S:1:pos:R:3 pbc="T T T"
Ag 1.959 -0.189 4.243
Sb 2.507 -0.128 0.352
I -0.228 1.899 2.316
Re 0.000 0.000 0.000
Sb -0.321 -1.960 1.576
```

E above lowest polymorph = 0 meV/atom
V = 154.4 Å³/cell
symmetry = P4/mmm
formation energy without anion corrections = 0.760 eV/atom
DOS at the Fermi energy = 0.95 states/eV/atom
mass density = 7.14 g cm⁻³

No. 11
The following is a DFT calculation (PBE-GGA) of a relaxed structure of CsGa3Mo.

Structure (extended XYZ):
```
5
Lattice="5.110 0.000 0.000 0.000 5.110 0.000 0.000 0.000 5.110" Properties=species:S:1:pos:R:3 pbc="T T T"
Ga 0.000 0.000 2.555
Ga 0.000 2.555 0.000
Cs 2.555 2.555 2.555
Mo 0.000 0.000 0.000
Ga 2.555 0.000 0.000
```

E above lowest polymorph = 0 meV/atom
V = 133.4 Å³/cell
formation energy = 0.11 eV/atom
symmetry = Pm-3m
DOS at the Fermi energy = 0.56 states/eV/atom
mass density = 5.45 g cm⁻³

No. 12
The following is a DFT calculation (PBE-GGA) of a relaxed structure of Ho3Ga2Pb2.

Structure (extended XYZ):
```
7
Lattice="4.369 0.000 0.000 -2.184 5.226 -2.161 0.000 0.009 7.824" Properties=species:S:1:pos:R:3 pbc="T T T"
Ho 2.184 0.000 0.000
Pb 0.000 0.490 2.330
Ho 2.184 1.799 4.270
Pb 2.184 4.746 3.333
Ga 2.184 2.999 -0.583
Ga 0.000 2.236 6.245
Ho 0.000 3.436 1.392
```

V = 178.7 Å³/cell
formation energy = -0.49 eV/atom
symmetry = C2/m
DOS at the Fermi energy = 0.68 states/eV/atom
mass density = 9.74 g cm⁻³

Values of total magnetic moment, in order: 0.97, 0.00, 0.00, 0.00, 0.00, 0.00, 0.00, 0.00, 0.00, 0.00, 0.00, 0.00, all in μB/f.u..